Entry 1:
A plane-wave DFT calculation with PBE was carried out for MnHg4 after structural relaxation.

## Properties
The formation energy is 1.35 eV/f.u. As for the uncorrected energy: -1.806 eV per atom. The space-group type is No. 87. The density of states at the Fermi level is 0.488 states/eV/atom. Its magnetic moment is 4.4 μB per formula unit.

Cell: 5.5287 5.5287 5.5287 Å, 98.93 98.93 133.60°
Closest atoms and distances in Å follow each position.
Fractional positions:
Mn 0.0000 0.0000 0.0000  12 Hg 3.11-3.23
Hg 0.6016 0.2090 0.8106  9 Hg 3.10-3.34, 3 Mn 3.11-3.23
Hg 0.3984 0.7910 0.1894  9 Hg 3.10-3.34, 3 Mn 3.11-3.23
Hg 0.2090 0.3984 0.6074  9 Hg 3.10-3.34, 3 Mn 3.11-3.23
Hg 0.7910 0.6016 0.3926  9 Hg 3.10-3.34, 3 Mn 3.11-3.23

***

Entry 2:
A plane-wave DFT calculation with PBE was carried out for Nd3Ga10Ni after structural relaxation.

## Properties
The formation energy is -7.85 eV/f.u. As for the uncorrected energy: -4.157 eV per atom. The space-group type is No. 47. The density of states at the Fermi level is 0.333 states/eV/atom. Its magnetic moment is 0.0 μB per formula unit.

Cell: 4.2617 4.2868 15.3673 Å, 90.00 90.00 90.00°
Closest atoms and distances in Å follow each position.
Fractional positions:
Nd 0.0000 0.5000 0.5000  12 Ga 3.23-3.26
Nd 0.0000 0.0000 0.2495  14 Ga 3.18-3.37
Nd 0.0000 0.0000 0.7505  14 Ga 3.18-3.37
Ga 0.5000 0.5000 0.1843  5 Ga 2.43-2.63
Ga 0.5000 0.5000 0.8157  5 Ga 2.43-2.63
Ga 0.5000 0.5000 0.3424  3 Ga 2.43-2.45
Ga 0.5000 0.5000 0.6576  3 Ga 2.43-2.45
Ga 0.5000 0.0000 0.4197  3 Ga 2.45-2.47
Ga 0.5000 0.0000 0.5803  3 Ga 2.45-2.47
Ga 0.5000 0.0000 0.0849  2 Ni 2.50, 3 Ga 2.61-2.63
Ga 0.5000 0.0000 0.9151  2 Ni 2.50, 3 Ga 2.61-2.63
Ga 0.0000 0.5000 0.0846  2 Ni 2.51, 3 Ga 2.60-2.62
Ga 0.0000 0.5000 0.9154  2 Ni 2.51, 3 Ga 2.60-2.62
Ni 0.0000 0.0000 0.0000  8 Ga 2.50-2.51

***

Entry 3:
A plane-wave DFT calculation with PBE was carried out for Mn2IrRu after structural relaxation.

## Properties
The formation energy is 0.21 eV/f.u. As for the uncorrected energy: -9.068 eV per atom. The space-group type is No. 44. The density of states at the Fermi level is 0.993 states/eV/atom. Its magnetic moment is 6.0 μB per formula unit.

Cell: 5.0285 5.0285 5.0285 Å, 145.41 130.44 61.84°
Closest atoms and distances in Å follow each position.
Fractional positions:
Ir 0.2413 0.7413 0.5000  6 Mn 2.59-2.60, 2 Ru 2.76
Mn 0.9954 0.9954 0.0000  2 Mn 2.57, 4 Ru 2.59, 2 Ir 2.60
Mn 0.7524 0.2524 0.5000  2 Ru 2.57, 2 Mn 2.57, 4 Ir 2.59
Ru 0.5108 0.5108 0.0000  6 Mn 2.57-2.59, 2 Ir 2.76

***

Entry 4:
A plane-wave DFT calculation with PBE was carried out for CsPPb2 after structural relaxation.

## Properties
The formation energy is 0.50 eV/f.u. As for the uncorrected energy: -3.295 eV per atom. The space-group type is No. 122. The density of states at the Fermi level is 0.007 states/eV/atom. Its magnetic moment is 0.0 μB per formula unit.

Cell: 5.8648 5.8648 10.5456 Å, 73.85 73.85 90.00°
Closest atoms and distances in Å follow each position.
Fractional positions:
Pb 0.4751 0.1250 0.2500  2 P 2.89, 2 Pb 3.16
Pb 0.2749 0.6250 0.2500  2 P 2.89, 2 Pb 3.16
Pb 0.3750 0.5249 0.7500  2 P 2.89, 2 Pb 3.16
Pb 0.8750 0.7251 0.7500  2 P 2.89, 2 Pb 3.16
Cs 0.0000 0.0000 0.0000  4 Pb 3.68
Cs 0.7500 0.2500 0.5000  4 Pb 3.68
P 0.5000 0.5000 0.0000  4 Pb 2.89
P 0.2500 0.7500 0.5000  4 Pb 2.89

***

Entry 5:
A plane-wave DFT calculation with PBE was carried out for SrAuIN2 after structural relaxation.

## Properties
As for the uncorrected energy: -3.654 eV per atom. The space-group type is No. 123. Its formation energy from raw total energies is 4.89 eV per formula unit. The density of states at the Fermi level is 0.741 states/eV/atom. The distance to the lowest polymorph of the same formula comes out at 0.000 eV/f.u. Its magnetic moment is 2.7 μB per formula unit.

Cell: 4.3741 4.3741 6.2027 Å, 90.00 90.00 90.00°
Closest atoms and distances in Å follow each position.
Fractional positions:
I 0.0000 0.0000 0.5000  4 Sr 3.09, 2 Au 3.10
Sr 0.5000 0.5000 0.5000  4 I 3.09
Au 0.0000 0.0000 0.0000  4 N 2.19
N 0.0000 0.5000 0.0000  2 Au 2.19
N 0.5000 0.0000 0.0000  2 Au 2.19

***

Entry 6:
A plane-wave DFT calculation with PBE was carried out for LaHfMg2 after structural relaxation.

## Properties
The formation energy is 0.55 eV/f.u. As for the uncorrected energy: -4.381 eV per atom. The space-group type is No. 225. The density of states at the Fermi level is 1.210 states/eV/atom. The distance to the lowest polymorph of the same formula comes out at 0.213 eV/f.u. Its magnetic moment is 0.0 μB per formula unit.

Cell: 5.2476 5.2476 5.2476 Å, 60.00 60.00 60.00°
Closest atoms and distances in Å follow each position.
Fractional positions:
Mg 0.2500 0.2500 0.2500  4 La 3.21, 4 Hf 3.21
Mg 0.7500 0.7500 0.7500  4 Hf 3.21, 4 La 3.21
Hf 0.5000 0.5000 0.5000  8 Mg 3.21
La 0.0000 0.0000 0.0000  8 Mg 3.21

***

Entry 7:
A plane-wave DFT calculation with PBE was carried out for PIr2Se after structural relaxation.

## Properties
As for the uncorrected energy: -6.232 eV per atom. The space-group type is No. 123. Its formation energy from raw total energies is 1.69 eV per formula unit. The density of states at the Fermi level is 1.165 states/eV/atom. Its magnetic moment is 0.0 μB per formula unit.

Cell: 4.4870 4.4870 2.9900 Å, 90.00 90.00 90.00°
Closest atoms and distances in Å follow each position.
Fractional positions:
P 0.5000 0.5000 0.5000  8 Ir 2.70, 2 P 2.99
Ir 0.5000 0.0000 0.0000  4 Se 2.70, 4 P 2.70, 2 Ir 2.99
Ir 0.0000 0.5000 0.0000  4 Se 2.70, 4 P 2.70, 2 Ir 2.99
Se 0.0000 0.0000 0.5000  8 Ir 2.70, 2 Se 2.99

***

Entry 8:
A plane-wave DFT calculation with PBE was carried out for KScCd2 after structural relaxation.

## Properties
The formation energy is 1.33 eV/f.u. As for the uncorrected energy: -1.982 eV per atom. The space-group type is No. 122. The density of states at the Fermi level is 0.678 states/eV/atom. The distance to the lowest polymorph of the same formula comes out at 1.596 eV/f.u. Its magnetic moment is 0.0 μB per formula unit.

Cell: 8.5326 8.5326 6.9694 Å, 52.26 52.26 90.00°
Closest atoms and distances in Å follow each position.
Fractional positions:
Sc 0.0000 0.0000 0.0000  4 Cd 2.93
Sc 0.7500 0.2500 0.5000  4 Cd 2.93
K 0.5000 0.5000 0.0000  4 Cd 3.37, 2 Sc 3.49
K 0.2500 0.7500 0.5000  4 Cd 3.37, 2 Sc 3.49
Cd 0.6630 0.1250 0.2500  2 Sc 2.93
Cd 0.0870 0.6250 0.2500  2 Sc 2.93
Cd 0.3750 0.3370 0.7500  2 Sc 2.93
Cd 0.8750 0.9130 0.7500  2 Sc 2.93

***

Entry 9:
A plane-wave DFT calculation with PBE was carried out for KNa2HgAu after structural relaxation.

## Properties
The formation energy is -0.88 eV/f.u. As for the uncorrected energy: -1.640 eV per atom. The space-group type is No. 123. The density of states at the Fermi level is 0.508 states/eV/atom. The distance to the lowest polymorph of the same formula comes out at 0.000 eV/f.u. Its magnetic moment is 0.0 μB per formula unit.

Cell: 5.6779 5.6779 5.4478 Å, 90.00 90.00 90.00°
Closest atoms and distances in Å follow each position.
Fractional positions:
Na 0.0000 0.5000 0.0000  2 Au 2.84
Na 0.5000 0.0000 0.0000  2 Au 2.84
K 0.5000 0.5000 0.5000  8 Na 3.93, 4 Hg 4.01
Au 0.0000 0.0000 0.0000  2 Hg 2.72, 4 Na 2.84
Hg 0.0000 0.0000 0.5000  2 Au 2.72

***

Entry 10:
A plane-wave DFT calculation with PBE was carried out for SiGeAs after structural relaxation.

## Properties
As for the uncorrected energy: -4.693 eV per atom. The space-group type is No. 156. Its formation energy from raw total energies is 0.61 eV per formula unit. The density of states at the Fermi level is 0.528 states/eV/atom. The distance to the lowest polymorph of the same formula comes out at 0.000 eV/f.u. Its magnetic moment is 0.0 μB per formula unit.

Cell: 3.6980 3.6980 4.7515 Å, 90.00 90.00 120.00°
Closest atoms and distances in Å follow each position.
Fractional positions:
As 0.0000 0.0000 0.0291  3 Si 2.55, 3 Ge 2.80
Si 0.6667 0.3333 0.3240  3 As 2.55, 3 Ge 2.63
Ge 0.3333 0.6667 0.6468  3 Si 2.63, 3 As 2.80

***

Entry 11:
A plane-wave DFT calculation with PBE was carried out for ReGe2Rh2 after structural relaxation.

## Properties
The formation energy is 1.91 eV/f.u. As for the uncorrected energy: -6.895 eV per atom. The space-group type is No. 139. The density of states at the Fermi level is 0.710 states/eV/atom. The distance to the lowest polymorph of the same formula comes out at 2.243 eV/f.u. Its magnetic moment is 1.5 μB per formula unit.

Cell: 3.6649 3.6649 6.4538 Å, 73.51 73.51 90.00°
Closest atoms and distances in Å follow each position.
Fractional positions:
Re 0.0000 0.0000 0.0000  8 Rh 2.88
Ge 0.7500 0.2500 0.5000  4 Rh 2.50, 4 Ge 2.59
Ge 0.2500 0.7500 0.5000  4 Rh 2.50, 4 Ge 2.59
Rh 0.3935 0.3935 0.2130  4 Ge 2.50, 1 Rh 2.52
Rh 0.6065 0.6065 0.7870  4 Ge 2.50, 1 Rh 2.52

***

Entry 12:
A plane-wave DFT calculation with PBE was carried out for Sr3Ce2UN6 after structural relaxation.

## Properties
As for the uncorrected energy: -7.742 eV per atom. The space-group type is No. 12. Its formation energy from raw total energies is -14.75 eV per formula unit. The density of states at the Fermi level is 0.575 states/eV/atom. Its magnetic moment is 1.9 μB per formula unit.

Cell: 6.2798 6.2798 6.3468 Å, 99.50 99.50 120.01°
Closest atoms and distances in Å follow each position.
Fractional positions:
Sr 0.1662 0.8338 0.5000  6 N 2.70-2.87
Sr 0.8338 0.1662 0.5000  6 N 2.70-2.87
Sr 0.5000 0.5000 0.5000  6 N 2.70-2.87
Ce 0.3333 0.6667 0.0000  6 N 2.48
Ce 0.6667 0.3333 0.0000  6 N 2.48
U 0.0000 0.0000 0.0000  6 N 2.28-2.29
N 0.9328 0.6228 0.7988  1 U 2.29, 2 Ce 2.48
N 0.7573 0.7573 0.2002  1 U 2.28, 2 Ce 2.48
N 0.0672 0.3772 0.2012  1 U 2.29, 2 Ce 2.48
N 0.6228 0.9328 0.7988  1 U 2.29, 2 Ce 2.48
N 0.2427 0.2427 0.7998  1 U 2.28, 2 Ce 2.48
N 0.3772 0.0672 0.2012  1 U 2.29, 2 Ce 2.48

***

What did the first record say?
A plane-wave DFT calculation with PBE was carried out for MnHg4 after structural relaxation.

## Properties
The formation energy is 1.35 eV/f.u. As for the uncorrected energy: -1.806 eV per atom. The space-group type is No. 87. The density of states at the Fermi level is 0.488 states/eV/atom. Its magnetic moment is 4.4 μB per formula unit.

Cell: 5.5287 5.5287 5.5287 Å, 98.93 98.93 133.60°
Closest atoms and distances in Å follow each position.
Fractional positions:
Mn 0.0000 0.0000 0.0000  12 Hg 3.11-3.23
Hg 0.6016 0.2090 0.8106  9 Hg 3.10-3.34, 3 Mn 3.11-3.23
Hg 0.3984 0.7910 0.1894  9 Hg 3.10-3.34, 3 Mn 3.11-3.23
Hg 0.2090 0.3984 0.6074  9 Hg 3.10-3.34, 3 Mn 3.11-3.23
Hg 0.7910 0.6016 0.3926  9 Hg 3.10-3.34, 3 Mn 3.11-3.23

***

Repeat the fourth record exactly.
A plane-wave DFT calculation with PBE was carried out for CsPPb2 after structural relaxation.

## Properties
The formation energy is 0.50 eV/f.u. As for the uncorrected energy: -3.295 eV per atom. The space-group type is No. 122. The density of states at the Fermi level is 0.007 states/eV/atom. Its magnetic moment is 0.0 μB per formula unit.

Cell: 5.8648 5.8648 10.5456 Å, 73.85 73.85 90.00°
Closest atoms and distances in Å follow each position.
Fractional positions:
Pb 0.4751 0.1250 0.2500  2 P 2.89, 2 Pb 3.16
Pb 0.2749 0.6250 0.2500  2 P 2.89, 2 Pb 3.16
Pb 0.3750 0.5249 0.7500  2 P 2.89, 2 Pb 3.16
Pb 0.8750 0.7251 0.7500  2 P 2.89, 2 Pb 3.16
Cs 0.0000 0.0000 0.0000  4 Pb 3.68
Cs 0.7500 0.2500 0.5000  4 Pb 3.68
P 0.5000 0.5000 0.0000  4 Pb 2.89
P 0.2500 0.7500 0.5000  4 Pb 2.89